Entry 1:
A plane-wave DFT calculation with PBE was carried out for a geometry-optimized RbNbO3 structure.

Geometry as CIF:
```
data_RbNbO3
_chemical_formula_sum 'Rb1 Nb1 O3'
_symmetry_space_group_name_H-M 'P m -3 m'
_symmetry_Int_Tables_number 221
_symmetry_space_group_name_Hall '-P 4 2 3'
_cell_length_a 4.0691
_cell_length_b 4.0691
_cell_length_c 4.0691
_cell_angle_alpha 90.00
_cell_angle_beta 90.00
_cell_angle_gamma 90.00
loop_
_atom_site_label
_atom_site_type_symbol
_atom_site_fract_x
_atom_site_fract_y
_atom_site_fract_z
_atom_site_occupancy
Rb1 Rb 0.0000 0.0000 0.0000 1
Nb1 Nb 0.5000 0.5000 0.5000 1
O1 O 0.0000 0.5000 0.5000 1
```

---

Entry 2:
A plane-wave DFT calculation with PBE was carried out for a geometry-optimized RbNbO3 structure.

Geometry as CIF:
```
data_RbNbO3
_chemical_formula_sum 'Rb6 Nb6 O18'
_symmetry_space_group_name_H-M 'R -3 c'
_symmetry_Int_Tables_number 167
_symmetry_space_group_name_Hall '-R 3 2"c'
_cell_length_a 6.5624
_cell_length_b 6.5624
_cell_length_c 16.3212
_cell_angle_alpha 90.00
_cell_angle_beta 90.00
_cell_angle_gamma 120.00
loop_
_atom_site_label
_atom_site_type_symbol
_atom_site_fract_x
_atom_site_fract_y
_atom_site_fract_z
_atom_site_occupancy
Rb1 Rb 0.0000 0.0000 0.0000 1
Nb1 Nb 0.0000 0.0000 0.2500 1
O1 O 0.0000 0.2778 0.2500 1
```

---

Entry 3:
A plane-wave DFT calculation with PBE was carried out for a geometry-optimized RbNbO3 structure.

Geometry as CIF:
```
data_RbNbO3
_chemical_formula_sum 'Rb4 Nb4 O12'
_symmetry_space_group_name_H-M 'P n m a'
_symmetry_Int_Tables_number 62
_symmetry_space_group_name_Hall '-P 2ac 2n'
_cell_length_a 6.0833
_cell_length_b 10.5556
_cell_length_c 6.0270
_cell_angle_alpha 90.00
_cell_angle_beta 90.00
_cell_angle_gamma 90.00
loop_
_atom_site_label
_atom_site_type_symbol
_atom_site_fract_x
_atom_site_fract_y
_atom_site_fract_z
_atom_site_occupancy
Rb1 Rb 0.0000 0.0000 0.0000 1
Nb1 Nb 0.0398 0.2500 0.4406 1
O1 O 0.1007 0.1133 0.6072 1
O2 O 0.2386 0.2500 0.1852 1
```

---

Entry 4:
A plane-wave DFT calculation with PBE was carried out for a geometry-optimized RbNbO3 structure.

Geometry as CIF:
```
data_RbNbO3
_chemical_formula_sum 'Rb6 Nb6 O18'
_symmetry_space_group_name_H-M 'R -3'
_symmetry_Int_Tables_number 148
_symmetry_space_group_name_Hall '-R 3'
_cell_length_a 5.6002
_cell_length_b 5.6002
_cell_length_c 17.4444
_cell_angle_alpha 90.00
_cell_angle_beta 90.00
_cell_angle_gamma 120.00
loop_
_atom_site_label
_atom_site_type_symbol
_atom_site_fract_x
_atom_site_fract_y
_atom_site_fract_z
_atom_site_occupancy
Rb1 Rb 0.0000 0.0000 0.1297 1
Nb1 Nb 0.0000 0.0000 0.3456 1
O1 O 0.0065 0.4617 0.9313 1
```

---

Number 1: total energy -37.63 eV/cell. Number 2: total energy -208.74 eV/cell. Number 3: total energy -149.26 eV/cell. Number 4: total energy -227.12 eV/cell.